Computed, not measured: a crystal of MgFe2Te relaxed with PBEsol at the meta-GGA SCAN level of DFT.

Values from the calculation:
polymorph energy (0 for the lowest one) = 0.25 eV/f.u.
uncorrected formation energy = 0.23 eV/atom
total DFT energy (no corrections) = -19.39 eV per atom
space-group type = No. 139

a b c (Å): 3.911 3.911 4.898
angles (deg): 113.53 113.53 90.00
Fractional positions:
Fe  0.750  0.250  0.500
Fe  0.250  0.750  0.500
Mg  0.000  0.000  0.000
Te  0.500  0.500  0.000